1.
Below is a relaxed structure of SrVN2F, with properties calculated at the PBE+U level.

Calculated values
As for the total energy: -32.93 eV per cell. Its energy above the most stable polymorph in this dataset is 0 meV per atom.

abc: 3.8829 3.8829 4.1473
angles: 90.00 90.00 90.00
Fractional coordinates of all 5 atoms:
V (0.0000, 0.0000, 0.0000)
F (0.0000, 0.0000, 0.5000)
N (0.0000, 0.5000, 0.0000)
N (0.5000, 0.0000, 0.0000)
Sr (0.5000, 0.5000, 0.5000)

***

2.
Below is a relaxed structure of SrVNF2, with properties calculated at the PBE+U level.

Calculated values
As for the total energy: -31.20 eV per cell. Its energy above the most stable polymorph in this dataset is 0 meV per atom.

abc: 4.1375 4.1375 4.0027
angles: 90.00 90.00 90.00
Last column: magnetic moment on the atom in μB.
Fractional coordinates of all 5 atoms:
N (0.0000, 0.0000, 0.5000)  -0.22
Sr (0.5000, 0.5000, 0.5000)  0.00
F (0.5000, 0.0000, 0.0000)  0.02
F (0.0000, 0.5000, 0.0000)  0.02
V (0.0000, 0.0000, 0.0000)  2.11

***

3.
Below is a relaxed structure of SrV2NF, with properties calculated at the PBE+U level.

Calculated values
As for the total energy: -29.76 eV per cell.

abc: 3.9664 6.2092 3.9664
angles: 90.00 90.00 90.00
Last column: magnetic moment on the atom in μB.
Fractional coordinates of all 5 atoms:
N (0.0000, 0.0000, 0.0000)  -0.22
V (0.5000, 0.0000, 0.0000)  2.30
V (0.0000, 0.0000, 0.5000)  2.79
Sr (0.0000, 0.5000, 0.0000)  0.05
F (0.5000, 0.5000, 0.5000)  0.03

***

4.
Below is a relaxed structure of SrVNF2, with properties calculated at the PBE+U level.

Calculated values
As for the total energy: -24.94 eV per cell. Its energy above the most stable polymorph in this dataset is 1252 meV per atom.

abc: 4.4730 4.4730 5.0841
angles: 90.00 90.00 90.00
Last column: magnetic moment on the atom in μB.
Fractional coordinates of all 5 atoms:
N (0.0000, 0.0000, 0.5000)  -0.01
V (0.5000, 0.5000, 0.5000)  2.84
F (0.5000, 0.0000, 0.0000)  0.01
F (0.0000, 0.5000, 0.0000)  0.01
Sr (0.0000, 0.0000, 0.0000)  0.03

***

5.
Below is a relaxed structure of SrVN2F, with properties calculated at the PBE+U level.

Calculated values
As for the total energy: -22.43 eV per cell. Its energy above the most stable polymorph in this dataset is 2100 meV per atom.

abc: 4.6801 4.6801 4.4210
angles: 90.00 90.00 90.00
Last column: magnetic moment on the atom in μB.
Fractional coordinates of all 5 atoms:
Sr (0.0000, 0.0000, 0.0000)  0.14
V (0.5000, 0.5000, 0.5000)  -1.06
N (0.5000, 0.0000, 0.0000)  1.09
N (0.0000, 0.5000, 0.0000)  1.09
F (0.0000, 0.0000, 0.5000)  0.01

***

6.
Below is a relaxed structure of SrWNF2, with properties calculated at the PBE+U level.

Calculated values
As for the total energy: -23.64 eV per cell. Its energy above the most stable polymorph in this dataset is 977 meV per atom.

abc: 4.4334 4.4334 5.2925
angles: 90.00 90.00 90.00
Last column: magnetic moment on the atom in μB.
Fractional coordinates of all 5 atoms:
W (0.5000, 0.5000, 0.5000)  3.63
F (0.5000, 0.0000, 0.0000)  0.02
F (0.0000, 0.5000, 0.0000)  0.02
Sr (0.0000, 0.0000, 0.0000)  0.05
N (0.0000, 0.0000, 0.5000)  0.47